Entry 1:
{
  "formula": "SrBeN2O",
  "functional": "PBE-GGA",
  "state": "optimized geometry",
  "lattice": [[4.918, 0.000, 0.000], [0.000, 4.918, 0.000], [0.000, 0.000, 4.504]],
  "species": ["Sr", "N", "N", "O", "Be"],
  "frac_coords": [[0.000, 0.000, 0.000], [0.000, 0.500, 0.000], [0.500, 0.000, 0.000], [0.000, 0.000, 0.500], [0.500, 0.500, 0.500]],
  "formation_energy_uncorrected_ev_per_atom": 1.819,
  "spacegroup": "No. 123",
  "dos_ef_per_ev_atom": 0.574,
  "energy_ev_per_cell": -17.9
}

Entry 2:
{
  "formula": "SrBeN2O",
  "functional": "PBE-GGA",
  "state": "optimized geometry",
  "lattice": [[-0.079, 1.123, 3.357], [1.259, -3.129, 1.077], [4.166, 1.533, -0.415]],
  "species": ["N", "N", "O", "Sr", "Be"],
  "frac_coords": [[0.500, 0.000, 0.000], [0.000, 0.500, 0.000], [0.000, 0.000, 0.500], [0.500, 0.500, 0.500], [0.000, 0.000, 0.000]],
  "formation_energy_uncorrected_ev_per_atom": -0.163,
  "spacegroup": "No. 123",
  "dos_ef_per_ev_atom": 0.292,
  "energy_ev_per_cell": -27.8
}

Entry 3:
{
  "formula": "SrBeNO2",
  "functional": "PBE-GGA",
  "state": "optimized geometry",
  "lattice": [[-1.007, -3.078, 2.090], [2.790, -2.057, -1.686], [2.329, 1.014, 2.615]],
  "species": ["N", "O", "O", "Be", "Sr"],
  "frac_coords": [[0.000, 0.000, 0.500], [0.000, 0.500, 0.000], [0.500, 0.000, 0.000], [0.000, 0.000, 0.000], [0.500, 0.500, 0.500]],
  "formation_energy_uncorrected_ev_per_atom": -0.947,
  "spacegroup": "No. 123",
  "dos_ef_per_ev_atom": 0.407,
  "energy_ev_per_cell": -28.4
}

Entry 4:
{
  "formula": "TaBeNO2",
  "functional": "PBE-GGA",
  "state": "optimized geometry",
  "lattice": [[3.266, 0.000, 0.000], [0.000, 3.266, 0.000], [0.000, 0.000, 3.781]],
  "species": ["O", "O", "Ta", "N", "Be"],
  "frac_coords": [[0.000, 0.500, 0.000], [0.500, 0.000, 0.000], [0.500, 0.500, 0.500], [0.000, 0.000, 0.500], [0.000, 0.000, 0.000]],
  "formation_energy_uncorrected_ev_per_atom": -1.080,
  "spacegroup": "No. 123",
  "dos_ef_per_ev_atom": 0.075,
  "energy_ev_per_cell": -39.2
}

Entry 5:
{
  "formula": "TaBeNO2",
  "functional": "PBE-GGA",
  "state": "optimized geometry",
  "lattice": [[3.877, 0.000, 0.000], [0.000, 3.877, 0.000], [0.000, 0.000, 4.189]],
  "species": ["Be", "O", "O", "Ta", "N"],
  "frac_coords": [[0.500, 0.500, 0.500], [0.500, 0.000, 0.000], [0.000, 0.500, 0.000], [0.000, 0.000, 0.000], [0.000, 0.000, 0.500]],
  "formation_energy_uncorrected_ev_per_atom": -0.875,
  "spacegroup": "No. 123",
  "dos_ef_per_ev_atom": 0.164,
  "energy_ev_per_cell": -38.2
}

Entry 6:
{
  "formula": "TaBeN2O",
  "functional": "PBE-GGA",
  "state": "optimized geometry",
  "lattice": [[3.501, 0.000, 0.000], [0.000, 3.501, 0.000], [0.000, 0.000, 3.305]],
  "species": ["N", "N", "O", "Ta", "Be"],
  "frac_coords": [[0.500, 0.000, 0.000], [0.000, 0.500, 0.000], [0.000, 0.000, 0.500], [0.500, 0.500, 0.500], [0.000, 0.000, 0.000]],
  "formation_energy_uncorrected_ev_per_atom": -0.256,
  "spacegroup": "No. 123",
  "dos_ef_per_ev_atom": 0.484,
  "energy_ev_per_cell": -38.5
}

Entry 7:
{
  "formula": "TaBeN2O",
  "functional": "PBE-GGA",
  "state": "optimized geometry",
  "lattice": [[4.058, 0.000, 0.000], [0.000, 4.058, 0.000], [0.000, 0.000, 3.887]],
  "species": ["Ta", "N", "N", "Be", "O"],
  "frac_coords": [[0.000, 0.000, 0.000], [0.000, 0.500, 0.000], [0.500, 0.000, 0.000], [0.500, 0.500, 0.500], [0.000, 0.000, 0.500]],
  "formation_energy_uncorrected_ev_per_atom": 0.008,
  "spacegroup": "No. 123",
  "dos_ef_per_ev_atom": 0.846,
  "energy_ev_per_cell": -37.2
}

Entry 8:
{
  "formula": "TaBe2NO",
  "functional": "PBE-GGA",
  "state": "optimized geometry",
  "lattice": [[-1.288, -2.469, -1.261], [6.358, -3.794, 0.934], [-0.950, -0.913, 2.758]],
  "species": ["Ta", "N", "O", "Be", "Be"],
  "frac_coords": [[0.000, 0.500, 0.000], [0.500, 0.500, 0.500], [0.000, 0.000, 0.000], [0.000, 0.000, 0.500], [0.500, 0.000, 0.000]],
  "formation_energy_uncorrected_ev_per_atom": -0.444,
  "spacegroup": "No. 123",
  "dos_ef_per_ev_atom": 0.390,
  "energy_ev_per_cell": -34.8
}